Entry 1:
An optimized crystal structure of Cd3Hg. Source: the Alexandria database, functional PBEsol.

Lattice parameters (Å, degrees): 2.9877 2.9877 10.9902 90.00 90.00 120.00
With the nearest neighbours (Å) after each atom.
Space group P-6m2 (No. 187)
Symmetry-distinct sites (fractional):
Cd 0.0000 0.0000 0.0000 (multiplicity 1)  12 Cd 2.99-3.23
Cd 0.3333 0.6667 0.2486 (multiplicity 2)  9 Cd 2.99-3.23, 3 Hg 3.26
Hg 0.0000 0.0000 0.5000 (multiplicity 1)  6 Hg 2.99, 6 Cd 3.26

Computed properties:
V: 84.96 Å³ per cell
energy of formation from the pure elements: 1.37 kJ per mole of atoms

Entry 2:
An optimized crystal structure of Cd3Hg4. Source: the Alexandria database, functional PBEsol.

Lattice parameters (Å, degrees): 3.9254 3.9254 20.0442 90.00 90.00 90.00
With the nearest neighbours (Å) after each atom.
Space group I4/mmm (No. 139)
Symmetry-distinct sites (fractional):
Cd 0.0000 0.0000 0.0000 (multiplicity 2)  10 Hg 2.88-3.12
Cd 0.0000 0.0000 0.2862 (multiplicity 4)  6 Hg 2.85-3.11, 4 Cd 3.13
Hg 0.0000 0.0000 0.1438 (multiplicity 4)  6 Cd 2.85-3.11, 4 Hg 3.13
Hg 0.0000 0.0000 0.4284 (multiplicity 4)  5 Cd 2.85-3.12, 5 Hg 2.87-3.13

Computed properties:
V: 308.85 Å³ per cell
energy of formation from the pure elements: -1.21 kJ per mole of atoms
relative energy among the computed polymorphs: 0 meV per atom

Entry 3:
An optimized crystal structure of Cd6Hg7. Source: the Alexandria database, functional PBEsol.

Lattice parameters (Å, degrees): 6.1451 6.1451 27.7945 90.00 90.00 120.00
With the nearest neighbours (Å) after each atom.
Space group R-3m (No. 166, hexagonal axes)
Symmetry-distinct sites (fractional):
Cd 0.0000 0.0000 0.0505 (multiplicity 6)  2 Cd 2.81-2.91
Cd 0.0000 0.0000 0.1551 (multiplicity 6)  1 Cd 2.91, 3 Hg 3.11
Cd 0.0000 0.0000 0.3347 (multiplicity 6)  6 Hg 2.96-2.97
Hg 0.0000 0.0000 0.5000 (multiplicity 3)  6 Hg 2.90
Hg 0.0078 0.5039 0.9147 (multiplicity 18)  5 Hg 2.90-3.14, 5 Cd 2.96-3.22

Computed properties:
V: 908.98 Å³ per cell
energy of formation from the pure elements: 8.75 kJ per mole of atoms